{
  "formula": "VCl",
  "functional": "PBE",
  "state": "optimized geometry",
  "lattice": [[2.990, 0.000, 0.000], [-1.495, 2.589, 0.000], [0.000, 0.000, 7.988]],
  "species": ["Cl", "Cl", "V", "V"],
  "frac_coords": [[0.667, 0.333, 0.890], [0.333, 0.667, 0.390], [0.333, 0.667, 0.692], [0.667, 0.333, 0.192]],
  "raw_formation_energy_ev_per_atom": -0.161,
  "n_ef_per_ev_cell": 1.87
}